[1]
First-principles (SCAN) data for a PBEsol-optimized structure of AlIr2Pb, as listed in Alexandria via LeMat-Bulk.

As for the total energy: -4.147 Ry per atom. The value obtained for the excess energy over the best structure of this formula in the dataset is 0 meV per atom. The value obtained for the density of states at the Fermi level is 2.5 states/eV/cell.

It has space group Imm2 (No. 44), with a = 3.1174 Å, b = 3.8731 Å, c = 11.3809 Å, α = 90.00°, β = 90.00° and γ = 90.00°. The distinct sites, in fractional coordinates, are Al at (0.0000, 0.0000, 0.0000), Ir at (0.0000, 0.0000, 0.4507), Ir at (0.0000, 0.5000, 0.6647) and Pb at (0.0000, 0.5000, 0.2665).



[2]
First-principles (SCAN) data for a PBEsol-optimized structure of Li2TaHgW, as listed in Alexandria via LeMat-Bulk.

As for the total energy: -2.960 Ry per atom. The value obtained for the density of states at the Fermi level is 3.2 states/eV/cell.

It has space group P4/mmm (No. 123), with a = 4.8302 Å, b = 4.8302 Å, c = 4.6733 Å, α = 90.00°, β = 90.00° and γ = 90.00°. The distinct sites, in fractional coordinates, are Li at (0.0000, 0.5000, 0.0000), Ta at (0.0000, 0.0000, 0.0000), Hg at (0.5000, 0.5000, 0.5000) and W at (0.0000, 0.0000, 0.5000).



[3]
First-principles (SCAN) data for a PBEsol-optimized structure of RbLaS2, as listed in Alexandria via LeMat-Bulk.

As for the total energy: -1.687 Ry per atom. As for the energy relative to the elements, uncorrected: -8.72 eV/f.u. The value obtained for the density of states at the Fermi level is 0.0 states/eV/cell.

It has space group R-3m (No. 166, hexagonal axes), with a = 4.2661 Å, b = 4.2661 Å, c = 22.6308 Å, α = 90.00°, β = 90.00° and γ = 120.00°. The distinct sites, in fractional coordinates, are Rb at (0.0000, 0.0000, 0.0000), La at (0.0000, 0.0000, 0.5000) and S at (0.0000, 0.0000, 0.2330).



[4]
First-principles (SCAN) data for a PBEsol-optimized structure of KCrRe, as listed in Alexandria via LeMat-Bulk.

As for the total energy: -2.329 Ry per atom. The value obtained for the density of states at the Fermi level is 5.4 states/eV/cell.

It has space group I4mm (No. 107), with a = 3.0204 Å, b = 3.0204 Å, c = 13.6399 Å, α = 90.00°, β = 90.00° and γ = 90.00°. The distinct sites, in fractional coordinates, are K at (0.0000, 0.0000, 0.0000), Cr at (0.0000, 0.0000, 0.7106) and Re at (0.0000, 0.0000, 0.2909).



[5]
First-principles (SCAN) data for a PBEsol-optimized structure of AlCrHF2, as listed in Alexandria via LeMat-Bulk.

As for the total energy: -0.585 Ry per atom. The value obtained for the density of states at the Fermi level is 0.6 states/eV/cell.

It has space group P4/mmm (No. 123), with a = 4.3344 Å, b = 4.3344 Å, c = 3.1821 Å, α = 90.00°, β = 90.00° and γ = 90.00°. The distinct sites, in fractional coordinates, are Al at (0.0000, 0.0000, 0.0000), Cr at (0.5000, 0.5000, 0.0000), H at (0.5000, 0.5000, 0.5000) and F at (0.0000, 0.5000, 0.5000).



[6]
First-principles (SCAN) data for a PBEsol-optimized structure of AlPtRh2, as listed in Alexandria via LeMat-Bulk.

As for the total energy: -2.718 Ry per atom. The value obtained for the density of states at the Fermi level is 8.5 states/eV/cell.

It has space group I4/mmm (No. 139), with a = 3.8655 Å, b = 3.8655 Å, c = 7.4234 Å, α = 90.00°, β = 90.00° and γ = 90.00°. The distinct sites, in fractional coordinates, are Al at (0.0000, 0.0000, 0.0000), Pt at (0.0000, 0.0000, 0.5000) and Rh at (0.0000, 0.5000, 0.2500).



[7]
First-principles (SCAN) data for a PBEsol-optimized structure of BeCu3Re, as listed in Alexandria via LeMat-Bulk.

As for the total energy: -1.634 Ry per atom. The value obtained for the density of states at the Fermi level is 4.2 states/eV/cell.

It has space group Pm-3m (No. 221), with a = 4.5652 Å, b = 4.5652 Å, c = 4.5652 Å, α = 90.00°, β = 90.00° and γ = 90.00°. The distinct sites, in fractional coordinates, are Be at (0.0000, 0.0000, 0.0000), Cu at (0.0000, 0.5000, 0.5000) and Re at (0.5000, 0.5000, 0.5000).



[8]
First-principles (SCAN) data for a PBEsol-optimized structure of BaTcPt2, as listed in Alexandria via LeMat-Bulk.

As for the total energy: -3.939 Ry per atom. The value obtained for the excess energy over the best structure of this formula in the dataset is 0 meV per atom. The value obtained for the density of states at the Fermi level is 3.0 states/eV/cell.

It has space group Pm (No. 6), with a = 2.8840 Å, b = 4.4222 Å, c = 6.4068 Å, α = 90.00°, β = 94.60° and γ = 90.00°. The distinct sites, in fractional coordinates, are Ba at (0.0000, 0.0000, 0.0000), Tc at (0.1148, 0.5000, 0.6141), Pt at (0.5534, 0.5000, 0.2706) and Pt at (0.5674, 0.0000, 0.5225).



Number 1: magnetic moment 0.00 μB/f.u.. Number 2: magnetic moment 0.58 μB/f.u.. Number 3: magnetic moment 0.00 μB/f.u.. Number 4: magnetic moment 1.87 μB/f.u.. Number 5: magnetic moment 4.00 μB/f.u.. Number 6: magnetic moment 0.35 μB/f.u.. Number 7: magnetic moment 1.38 μB/f.u.. Number 8: magnetic moment 0.68 μB/f.u..